Entry 1:
This record from Alexandria describes a relaxed structure of FeMo2Se. The functional is PBE.

Output
Calculated volume: 59.5 Å³ per cell
E_form (uncorrected): 371 meV/atom
Spin magnetization: 0.36 μB per atom

Cell: 3.151 4.304 4.388 Å, 90.00 90.00 90.00°
Sites, in units of the cell vectors:
Mo 0.000 0.000 0.000
Fe 0.000 0.500 0.500
Se 0.500 0.000 0.500
Mo 0.500 0.500 0.000


Entry 2:
This record from Alexandria describes a relaxed structure of Sr2YThP4. The functional is PBE.

Output
Calculated volume: 215.1 Å³ per cell
E_form: -1274 meV/atom
Spin magnetization: 0.00 μB per atom

Cell: 4.225 7.259 7.426 Å, 109.16 90.00 90.00°
Sites, in units of the cell vectors:
P 0.500 0.761 0.777
Y 0.000 0.000 0.000
P 0.000 0.743 0.224
Th 0.500 0.500 0.000
P 0.500 0.239 0.223
Sr 0.500 0.000 0.500
Sr 0.000 0.500 0.500
P 0.000 0.257 0.776


Entry 3:
This record from Alexandria describes a relaxed structure of Zr2CdPb. The functional is PBE.

Output
Calculated volume: 94.6 Å³ per cell
E_form: -15 meV/atom
Spin magnetization: 0.00 μB per atom

Cell: 10.397 10.397 10.397 Å, 18.09 18.09 18.09°
Sites, in units of the cell vectors:
Cd 0.750 0.750 0.750
Pb 0.250 0.250 0.250
Zr 0.499 0.499 0.499
Zr 0.001 0.001 0.001


Entry 4:
This record from Alexandria describes a relaxed structure of PmInPb. The functional is PBE.

Output
Offset from the most stable computed form: 0.033 eV per formula unit
Calculated volume: 174.9 Å³ per cell
E_form: -342 meV/atom
Spin magnetization: 0.00 μB per atom

Cell: 4.838 3.705 9.929 Å, 100.75 90.00 90.00°
Sites, in units of the cell vectors:
Pm 0.250 0.891 0.283
Pm 0.750 0.109 0.717
Pb 0.750 0.296 0.091
Pb 0.250 0.704 0.909
In 0.750 0.458 0.416
In 0.250 0.542 0.584


Entry 5:
This record from Alexandria describes a relaxed structure of SrLu2Tc. The functional is PBE.

Output
Calculated volume: 114.2 Å³ per cell
E_form: 8 meV/atom
Spin magnetization: 0.00 μB per atom

Cell: 3.473 3.473 9.462 Å, 90.00 90.00 90.00°
Sites, in units of the cell vectors:
Tc 0.500 0.500 0.000
Lu 0.000 0.000 0.165
Lu 0.000 0.000 0.835
Sr 0.500 0.500 0.500


Entry 6:
This record from Alexandria describes a relaxed structure of RbSiN3. The functional is PBE.

Output
Calculated volume: 56.0 Å³ per cell
E_form (uncorrected): 964 meV/atom
Spin magnetization: 0.42 μB per atom

Cell: 3.827 3.827 3.827 Å, 90.00 90.00 90.00°
Sites, in units of the cell vectors:
Si 0.000 0.000 0.000
Rb 0.500 0.500 0.500
N 0.000 0.500 0.000
N 0.000 0.000 0.500
N 0.500 0.000 0.000


Entry 7:
This record from Alexandria describes a relaxed structure of Cr2IrAu. The functional is PBE.

Output
Offset from the most stable computed form: 0.521 eV per formula unit
Calculated volume: 58.1 Å³ per cell
E_form: 242 meV/atom
Spin magnetization: 0.00 μB per atom

Cell: 4.686 4.686 4.712 Å, 79.38 79.38 34.90°
Sites, in units of the cell vectors:
Ir 0.750 0.750 0.750
Au 0.250 0.250 0.250
Cr 0.004 0.004 0.937
Cr 0.496 0.496 0.563


Entry 8:
This record from Alexandria describes a relaxed structure of Nd2AgIr. The functional is PBE.

Output
Offset from the most stable computed form: 0.345 eV per formula unit
Calculated volume: 112.8 Å³ per cell
E_form: -415 meV/atom
Spin magnetization: 0.00 μB per atom

Cell: 4.205 4.205 7.755 Å, 74.27 74.27 60.00°
Sites, in units of the cell vectors:
Ag 0.502 0.502 0.495
Nd 0.264 0.264 0.208
Ir 0.666 0.666 0.003
Nd 0.069 0.069 0.794


Entry 9:
This record from Alexandria describes a relaxed structure of SrTcSb2. The functional is PBE.

Output
Offset from the most stable computed form: 0.936 eV per formula unit
Calculated volume: 103.0 Å³ per cell
E_form (uncorrected): -20 meV/atom
Spin magnetization: 0.00 μB per atom

Cell: 5.398 5.398 5.398 Å, 132.03 112.72 86.80°
Sites, in units of the cell vectors:
Sb 0.047 0.047 0.000
Tc 0.250 0.750 0.500
Sb 0.453 0.453 0.000
Sr 0.750 0.250 0.500


Entry 10:
This record from Alexandria describes a relaxed structure of Nd2Y15Er2. The functional is PBE.

Output
Calculated volume: 646.2 Å³ per cell
E_form: 307 meV/atom
Spin magnetization: 0.00 μB per atom

Cell: 8.781 8.781 8.781 Å, 79.39 79.39 79.39°
Sites, in units of the cell vectors:
Y 0.372 0.847 0.372
Nd 0.113 0.113 0.113
Er 0.677 0.677 0.677
Y 0.697 0.303 0.000
Y 0.500 0.000 0.000
Y 0.000 0.697 0.303
Y 0.847 0.372 0.372
Y 0.628 0.153 0.628
Y 0.000 0.500 0.000
Y 0.303 0.000 0.697
Y 0.000 0.303 0.697
Y 0.628 0.628 0.153
Nd 0.887 0.887 0.887
Y 0.303 0.697 0.000
Y 0.372 0.372 0.847
Y 0.153 0.628 0.628
Y 0.697 0.000 0.303
Er 0.323 0.323 0.323
Y 0.000 0.000 0.500


Entry 11:
This record from Alexandria describes a relaxed structure of MnOsPb. The functional is PBE.

Output
Offset from the most stable computed form: 0.000 eV per formula unit
Calculated volume: 55.9 Å³ per cell
E_form: 620 meV/atom
Spin magnetization: 0.98 μB per atom

Cell: 6.393 6.393 6.393 Å, 152.44 152.44 39.38°
Sites, in units of the cell vectors:
Mn 0.968 0.968 0.000
Os 0.359 0.359 0.000
Pb 0.673 0.673 0.000


Entry 12:
This record from Alexandria describes a relaxed structure of BaGa3Si3. The functional is PBE.

Output
Calculated volume: 337.2 Å³ per cell
E_form (uncorrected): -139 meV/atom
Spin magnetization: 0.00 μB per atom

Cell: 6.960 6.960 6.960 Å, 90.00 90.00 90.00°
Sites, in units of the cell vectors:
Ga 0.250 0.000 0.500
Si 0.750 0.500 0.000
Ga 0.500 0.750 0.000
Si 0.500 0.000 0.750
Ga 0.500 0.250 0.000
Ba 0.500 0.500 0.500
Ba 0.000 0.000 0.000
Si 0.000 0.750 0.500
Si 0.000 0.250 0.500
Si 0.500 0.000 0.250
Ga 0.750 0.000 0.500
Ga 0.000 0.500 0.750
Ga 0.000 0.500 0.250
Si 0.250 0.500 0.000


Entry 13:
This record from Alexandria describes a relaxed structure of ZrZnPt. The functional is PBE.

Output
Calculated volume: 51.3 Å³ per cell
E_form: -745 meV/atom
Spin magnetization: 0.00 μB per atom

Cell: 4.510 4.510 2.915 Å, 90.00 90.00 120.00°
Sites, in units of the cell vectors:
Zn 0.667 0.333 0.166
Zr 0.333 0.667 0.667
Pt 0.000 0.000 0.167


Entry 14:
This record from Alexandria describes a relaxed structure of Ac2YAu. The functional is PBE.

Output
Offset from the most stable computed form: 0.000 eV per formula unit
Calculated volume: 138.7 Å³ per cell
E_form: -334 meV/atom
Spin magnetization: 0.00 μB per atom

Cell: 3.925 3.925 9.007 Å, 90.00 90.00 90.00°
Sites, in units of the cell vectors:
Au 0.500 0.500 0.000
Ac 0.000 0.000 0.212
Y 0.500 0.500 0.500
Ac 0.000 0.000 0.788


Entry 15:
This record from Alexandria describes a relaxed structure of LaTbO2. The functional is PBE.

Output
Offset from the most stable computed form: 0.000 eV per formula unit
Calculated volume: 63.3 Å³ per cell
E_form (uncorrected): -2884 meV/atom
Spin magnetization: 0.00 μB per atom

Cell: 3.496 3.496 6.315 Å, 73.93 73.93 60.00°
Sites, in units of the cell vectors:
O 0.766 0.766 0.703
O 0.234 0.234 0.297
La 0.000 0.000 0.000
Tb 0.500 0.500 0.500


Entry 16:
This record from Alexandria describes a relaxed structure of RbMnAl2Se. The functional is PBE.

Output
Calculated volume: 167.7 Å³ per cell
E_form (uncorrected): 762 meV/atom
Spin magnetization: 0.81 μB per atom

Cell: 5.225 6.143 5.225 Å, 90.00 90.00 90.00°
Sites, in units of the cell vectors:
Rb 0.000 0.500 0.000
Al 0.500 0.000 0.000
Se 0.000 0.000 0.000
Mn 0.500 0.500 0.500
Al 0.000 0.000 0.500


Entry 17:
This record from Alexandria describes a relaxed structure of Be2ReF. The functional is PBE.

Output
Offset from the most stable computed form: 0.166 eV per formula unit
Calculated volume: 87.8 Å³ per cell
E_form (uncorrected): -959 meV/atom
Spin magnetization: 0.00 μB per atom

Cell: 3.310 2.910 9.219 Å, 90.00 98.57 90.00°
Sites, in units of the cell vectors:
Re 0.242 0.500 0.095
Be 0.255 0.500 0.825
F 0.978 0.500 0.666
Re 0.819 0.000 0.280
Be 0.351 0.500 0.356
Be 0.704 0.000 0.982
F 0.500 0.000 0.795
Be 0.911 0.500 0.500


Entry 18:
This record from Alexandria describes a relaxed structure of ZrAs3Cl. The functional is PBE.

Output
Offset from the most stable computed form: 0.000 eV per formula unit
Calculated volume: 139.9 Å³ per cell
E_form (uncorrected): 178 meV/atom
Spin magnetization: 0.00 μB per atom

Cell: 5.191 5.191 5.191 Å, 90.00 90.00 90.00°
Sites, in units of the cell vectors:
As 0.000 0.500 0.000
Zr 0.000 0.000 0.000
As 0.500 0.000 0.000
As 0.000 0.000 0.500
Cl 0.500 0.500 0.500


Entry 19:
This record from Alexandria describes a relaxed structure of Sm2Br2Cl3. The functional is PBE.

Output
Calculated volume: 225.3 Å³ per cell
E_form (uncorrected): -1956 meV/atom
Spin magnetization: 0.00 μB per atom

Cell: 3.676 7.718 8.426 Å, 81.13 77.40 76.23°
Sites, in units of the cell vectors:
Br 0.810 0.606 0.774
Sm 0.819 0.101 0.261
Cl 0.624 0.159 0.594
Cl 0.500 0.000 0.000
Sm 0.181 0.899 0.739
Cl 0.376 0.841 0.406
Br 0.190 0.394 0.226


Entry 20:
This record from Alexandria describes a relaxed structure of NdErInGa. The functional is PBE.

Output
Offset from the most stable computed form: 0.106 eV per formula unit
Calculated volume: 103.0 Å³ per cell
E_form: -490 meV/atom
Spin magnetization: 0.00 μB per atom

Cell: 5.262 5.262 5.262 Å, 60.00 60.00 60.00°
Sites, in units of the cell vectors:
In 0.500 0.500 0.500
Er 0.750 0.750 0.750
Nd 0.250 0.250 0.250
Ga 0.000 0.000 0.000